1.
CoPdCl6: optimized geometry, PBE. Values from VASP.

* volume: 164.9 Å³ per cell
* space-group type: R-3, No. 148
* N(E_F): 6.70 states/eV/f.u.
* calculated density: 3807 kg/m3
* total energy: -26.2 eV for the cell shown

The structure in Quantum ESPRESSO input format:
```
&SYSTEM
  ibrav = 0, nat = 8, ntyp = 3
/
ATOMIC_SPECIES
Co 58.93 Co.upf
Pd 106.42 Pd.upf
Cl 35.45 Cl.upf
CELL_PARAMETERS angstrom
-2.240 -5.501 -0.363
3.508 -4.544 -1.567
1.644 -4.187 4.527
ATOMIC_POSITIONS crystal
Co 0.500 0.500 0.500
Pd 0.000 0.000 0.000
Cl 0.108 0.411 0.742
Cl 0.739 0.108 0.742
Cl 0.589 0.261 0.258
Cl 0.261 0.892 0.258
Cl 0.892 0.589 0.258
Cl 0.411 0.739 0.742
```

2.
CoPdCl2: optimized geometry, PBE. Values from VASP.

* volume: 74.2 Å³ per cell
* space-group type: R-3m, No. 166
* N(E_F): 6.26 states/eV/f.u.
* calculated density: 5284 kg/m3
* total energy: -16.4 eV for the cell shown

The structure in Quantum ESPRESSO input format:
```
&SYSTEM
  ibrav = 0, nat = 4, ntyp = 3
/
ATOMIC_SPECIES
Co 58.93 Co.upf
Pd 106.42 Pd.upf
Cl 35.45 Cl.upf
CELL_PARAMETERS angstrom
1.948 0.000 7.531
-0.974 1.687 7.531
-0.974 -1.687 7.531
ATOMIC_POSITIONS crystal
Co 0.500 0.500 0.500
Pd 0.000 0.000 0.000
Cl 0.896 0.896 0.896
Cl 0.104 0.104 0.104
```

3.
CoPd2Cl6: optimized geometry, PBE. Values from VASP.

* volume: 426.9 Å³ per cell
* space-group type: C2/c, No. 15
* N(E_F): 9.79 states/eV/f.u.
* calculated density: 3769 kg/m3
* total energy: -63.4 eV for the cell shown

The structure in Quantum ESPRESSO input format:
```
&SYSTEM
  ibrav = 0, nat = 18, ntyp = 3
/
ATOMIC_SPECIES
Co 58.93 Co.upf
Pd 106.42 Pd.upf
Cl 35.45 Cl.upf
CELL_PARAMETERS angstrom
5.926 -0.761 -0.737
0.727 8.398 -0.048
0.727 0.224 8.395
ATOMIC_POSITIONS crystal
Co 0.250 0.086 0.914
Co 0.750 0.914 0.086
Pd 0.246 0.585 0.937
Pd 0.254 0.063 0.415
Pd 0.754 0.415 0.063
Pd 0.746 0.937 0.585
Cl 0.469 0.759 0.514
Cl 0.031 0.486 0.241
Cl 0.531 0.241 0.486
Cl 0.969 0.514 0.759
Cl 0.935 0.889 0.348
Cl 0.565 0.652 0.111
Cl 0.065 0.111 0.652
Cl 0.435 0.348 0.889
Cl 0.068 0.830 0.953
Cl 0.432 0.047 0.170
Cl 0.932 0.170 0.047
Cl 0.568 0.953 0.830
```

4.
CoPdCl2: optimized geometry, PBE. Values from VASP.

* volume: 65.6 Å³ per cell
* space-group type: Fm-3m, No. 225
* N(E_F): 3.19 states/eV/f.u.
* calculated density: 5983 kg/m3
* total energy: -14.7 eV for the cell shown

The structure in Quantum ESPRESSO input format:
```
&SYSTEM
  ibrav = 0, nat = 4, ntyp = 3
/
ATOMIC_SPECIES
Co 58.93 Co.upf
Pd 106.42 Pd.upf
Cl 35.45 Cl.upf
CELL_PARAMETERS angstrom
0.000 3.201 3.201
3.201 0.000 3.201
3.201 3.201 0.000
ATOMIC_POSITIONS crystal
Co 0.000 0.000 0.000
Pd 0.500 0.500 0.500
Cl 0.250 0.250 0.250
Cl 0.750 0.750 0.750
```

5.
Co2PdCl6: optimized geometry, PBE. Values from VASP.

* volume: 443.5 Å³ per cell
* space-group type: C2/c, No. 15
* N(E_F): 4.02 states/eV/f.u.
* calculated density: 3272 kg/m3
* total energy: -69.7 eV for the cell shown

The structure in Quantum ESPRESSO input format:
```
&SYSTEM
  ibrav = 0, nat = 18, ntyp = 3
/
ATOMIC_SPECIES
Co 58.93 Co.upf
Pd 106.42 Pd.upf
Cl 35.45 Cl.upf
CELL_PARAMETERS angstrom
-3.730 -3.882 4.575
1.463 -6.683 -4.080
6.592 -2.239 3.872
ATOMIC_POSITIONS crystal
Co 0.209 0.619 0.766
Co 0.291 0.234 0.381
Co 0.791 0.381 0.234
Co 0.709 0.766 0.619
Pd 0.250 0.093 0.907
Pd 0.750 0.907 0.093
Cl 0.412 0.705 0.551
Cl 0.088 0.449 0.295
Cl 0.588 0.295 0.449
Cl 0.912 0.551 0.705
Cl 0.851 0.881 0.375
Cl 0.649 0.625 0.119
Cl 0.149 0.119 0.625
Cl 0.351 0.375 0.881
Cl 0.177 0.800 0.954
Cl 0.323 0.046 0.200
Cl 0.823 0.200 0.046
Cl 0.677 0.954 0.800
```

6.
CoPdCl2: optimized geometry, PBE. Values from VASP.

* volume: 168.6 Å³ per cell
* space-group type: I-42d, No. 122
* N(E_F): 4.20 states/eV/f.u.
* calculated density: 4654 kg/m3
* total energy: -31.9 eV for the cell shown

The structure in Quantum ESPRESSO input format:
```
&SYSTEM
  ibrav = 0, nat = 8, ntyp = 3
/
ATOMIC_SPECIES
Co 58.93 Co.upf
Pd 106.42 Pd.upf
Cl 35.45 Cl.upf
CELL_PARAMETERS angstrom
5.682 0.000 0.000
0.000 5.682 0.000
2.841 2.841 5.221
ATOMIC_POSITIONS crystal
Co 0.500 0.500 0.000
Co 0.250 0.750 0.500
Pd 0.000 0.000 0.000
Pd 0.750 0.250 0.500
Cl 0.585 0.125 0.250
Cl 0.165 0.625 0.250
Cl 0.375 0.415 0.750
Cl 0.875 0.835 0.750
```

7.
Pm6Co2PdCl3: optimized geometry, PBE. Values from VASP.

* volume: 313.5 Å³ per cell
* space-group type: C2/m, No. 12
* N(E_F): 6.33 states/eV/f.u.
* calculated density: 6360 kg/m3
* total energy: -64.7 eV for the cell shown

The structure in Quantum ESPRESSO input format:
```
&SYSTEM
  ibrav = 0, nat = 12, ntyp = 4
/
ATOMIC_SPECIES
Pm 145.00 Pm.upf
Co 58.93 Co.upf
Pd 106.42 Pd.upf
Cl 35.45 Cl.upf
CELL_PARAMETERS angstrom
4.000 0.000 0.000
0.000 8.799 -0.190
-2.000 -3.065 8.971
ATOMIC_POSITIONS crystal
Pm 0.337 0.877 0.674
Pm 0.680 0.559 0.359
Pm 0.663 0.123 0.326
Pm 0.019 0.242 0.038
Pm 0.981 0.758 0.962
Pm 0.320 0.441 0.641
Co 0.833 0.663 0.665
Co 0.167 0.337 0.335
Pd 0.500 0.000 0.000
Cl 0.500 0.500 0.000
Cl 0.831 0.164 0.663
Cl 0.169 0.836 0.337
```

8.
Pr8Co3PdCl4: optimized geometry, PBE. Values from VASP.

* volume: 432.1 Å³ per cell
* space-group type: C2/m, No. 12
* N(E_F): 7.30 states/eV/f.u.
* calculated density: 5966 kg/m3
* total energy: -86.4 eV for the cell shown

The structure in Quantum ESPRESSO input format:
```
&SYSTEM
  ibrav = 0, nat = 16, ntyp = 4
/
ATOMIC_SPECIES
Pr 140.91 Pr.upf
Co 58.93 Co.upf
Pd 106.42 Pd.upf
Cl 35.45 Cl.upf
CELL_PARAMETERS angstrom
-3.418 -6.426 -3.599
-1.717 -3.558 7.982
-2.874 7.457 -1.427
ATOMIC_POSITIONS crystal
Pr 0.242 0.704 0.962
Pr 0.242 0.704 0.484
Pr 0.266 0.297 0.531
Pr 0.720 0.704 0.962
Pr 0.280 0.296 0.038
Pr 0.734 0.703 0.469
Pr 0.758 0.296 0.516
Pr 0.758 0.296 0.038
Co 0.500 0.500 0.000
Co 0.500 0.500 0.500
Co 0.000 0.500 0.500
Pd 0.000 0.500 0.000
Cl 0.500 0.000 0.000
Cl 0.500 0.000 0.500
Cl 0.000 0.000 0.000
Cl 0.000 0.000 0.500
```